[1]
VASP calculation (PBE-GGA) on TcSb2Br after structural relaxation.

Raw formation energy, eV per atom: 0.378
Total DFT energy (no corrections), eV per atom: -4.6933
Volume, Å³/atom: 34.07

abc: 6.616 6.616 7.789
angles: 64.87 64.87 90.00
Element x y z (fractional)
Sb: 0.713 0.125 0.250
Br: 0.250 0.750 0.500
Br: 0.500 0.500 0.000
Sb: 0.037 0.625 0.250
Tc: 0.750 0.250 0.500
Sb: 0.375 0.287 0.750
Sb: 0.875 0.963 0.750
Tc: 0.000 0.000 0.000

***

[2]
VASP calculation (PBE-GGA) on TcSb2Br after structural relaxation.

Raw formation energy, eV per atom: 0.478
Total DFT energy (no corrections), eV per atom: -4.5931
Volume, Å³/atom: 23.39

abc: 3.270 3.270 10.010
angles: 90.00 90.00 119.05
Element x y z (fractional)
Br: 0.500 0.500 0.703
Sb: 0.500 0.500 0.293
Tc: 0.000 0.000 0.502
Sb: 0.000 0.000 0.001

***

Repeat the second record exactly.
VASP calculation (PBE-GGA) on TcSb2Br after structural relaxation.

Raw formation energy, eV per atom: 0.478
Total DFT energy (no corrections), eV per atom: -4.5931
Volume, Å³/atom: 23.39

abc: 3.270 3.270 10.010
angles: 90.00 90.00 119.05
Element x y z (fractional)
Br: 0.500 0.500 0.703
Sb: 0.500 0.500 0.293
Tc: 0.000 0.000 0.502
Sb: 0.000 0.000 0.001